Entry from the Alexandria database: an optimized crystal structure of Ce5Co2Pb5 (PBE).

a = 4.9143 Å, b = 6.3773 Å, c = 11.4682 Å
α = 100.22°, β = 90.00°, γ = 112.66°
With the nearest neighbours (Å) after each atom.
Element x y z (fractional)
Ce: 0.3381 0.6763 0.1347  2 Co 2.48
Ce: 0.8899 0.7798 0.6538  8 Pb 3.23-3.54, 1 Co 3.37
Ce: 0.1101 0.2202 0.3462  8 Pb 3.23-3.54, 1 Co 3.37
Ce: 0.6619 0.3237 0.8653  2 Co 2.48
Ce: 0.0000 0.0000 0.0000  2 Co 2.40
Co: 0.8672 0.7344 0.1351  3 Ce 2.40-2.48
Co: 0.1328 0.2656 0.8649  3 Ce 2.40-2.48
Pb: 0.1703 0.3405 0.6335  1 Co 2.77, 1 Pb 3.06
Pb: 0.8297 0.6595 0.3665  1 Co 2.77, 1 Pb 3.06
Pb: 0.3676 0.7353 0.8507  1 Co 2.80, 1 Pb 3.06
Pb: 0.5000 0.0000 0.5000  4 Pb 3.35, 4 Ce 3.42
Pb: 0.6324 0.2647 0.1493  1 Co 2.80, 1 Pb 3.06

Output
Formation enthalpy at 0 K, meV/atom: -324.2
Raw total energy, eV/atom: -5.53

Entry from the Alexandria database: an optimized crystal structure of Dy2Si3Rh5 (PBE).

a = 4.0506 Å, b = 6.5697 Å, c = 12.2703 Å
α = 90.00°, β = 99.50°, γ = 90.00°
With the nearest neighbours (Å) after each atom.
Element x y z (fractional)
Si: 0.0496 0.9591 0.0991  4 Rh 2.39-2.61
Si: 0.2286 0.2301 0.4572  7 Rh 2.39-2.49
Si: 0.7714 0.7301 0.5428  7 Rh 2.39-2.49
Si: 0.6113 0.5080 0.2227  4 Rh 2.37-2.59
Si: 0.3887 0.0080 0.7773  4 Rh 2.37-2.59
Si: 0.9504 0.4591 0.9009  4 Rh 2.39-2.61
Rh: 0.5991 0.8995 0.1983  3 Si 2.39-2.59
Rh: 0.7075 0.4365 0.4149  4 Si 2.37-2.49
Rh: 0.7099 0.0234 0.4198  3 Si 2.44-2.48, 1 Rh 2.71
Rh: 0.9423 0.0909 0.8845  3 Si 2.43-2.47
Rh: 0.2901 0.5234 0.5802  3 Si 2.44-2.48, 1 Rh 2.71
Rh: 0.8703 0.7243 0.7406  2 Si 2.39-2.61
Rh: 0.1297 0.2243 0.2594  2 Si 2.39-2.61
Rh: 0.0577 0.5909 0.1155  3 Si 2.43-2.47
Rh: 0.4009 0.3995 0.8017  3 Si 2.39-2.59
Rh: 0.2925 0.9365 0.5851  4 Si 2.37-2.49
Dy: 0.8243 0.2420 0.6485  9 Rh 2.86-3.12, 4 Si 2.98-3.08
Dy: 0.1757 0.7420 0.3515  9 Rh 2.86-3.12, 4 Si 2.98-3.08
Dy: 0.5199 0.2510 0.0397  5 Si 2.78-2.97, 4 Rh 2.96-3.04
Dy: 0.4801 0.7510 0.9603  5 Si 2.78-2.97, 4 Rh 2.96-3.04

Output
Raw formation energy, meV per atom: -943.9
Raw total energy, eV/atom: -7.17

Entry from the Alexandria database: an optimized crystal structure of YCo2Si (PBE).

a = 4.0114 Å, b = 3.8840 Å, c = 4.2261 Å
α = 79.97°, β = 90.00°, γ = 90.00°
With the nearest neighbours (Å) after each atom.
Element x y z (fractional)
Si: 0.0000 0.3760 0.4360  4 Co 2.24-2.25
Y: 0.5000 0.8382 0.6981  2 Co 2.57-2.65
Co: 0.0000 0.9281 0.1668  2 Si 2.24-2.25
Co: 0.5000 0.3578 0.1992  2 Si 2.25

Output
Raw formation energy, meV per atom: -221.4
Raw total energy, eV/atom: -6.75

Entry from the Alexandria database: an optimized crystal structure of KGaSb2 (PBE).

a = 9.9770 Å, b = 9.9770 Å, c = 30.0428 Å
α = 90.00°, β = 90.00°, γ = 133.86°
With the nearest neighbours (Å) after each atom.
Element x y z (fractional)
K: 0.2989 0.7011 0.5114  6 Sb 3.60-4.03
K: 0.3486 0.1514 0.2500  6 Sb 3.61-4.01, 2 K 3.91
K: 0.6514 0.8486 0.7500  6 Sb 3.61-4.01, 2 K 3.91
K: 0.7186 0.7186 0.0000  1 K 3.42, 4 Sb 3.48-3.63
K: 0.2186 0.2186 0.5000  1 K 3.42, 4 Sb 3.48-3.63
K: 0.2011 0.7989 0.0114  6 Sb 3.60-4.03
K: 0.2814 0.2814 0.0000  1 K 3.42, 4 Sb 3.48-3.63
K: 0.1574 0.8426 0.6939  4 Ga 3.60-3.67, 6 Sb 3.62-3.85
K: 0.7011 0.2989 0.4886  6 Sb 3.60-4.03
K: 0.7989 0.2011 0.9886  6 Sb 3.60-4.03
K: 0.3426 0.6574 0.1939  4 Ga 3.60-3.67, 6 Sb 3.62-3.85
K: 0.6574 0.3426 0.8061  4 Ga 3.60-3.67, 6 Sb 3.62-3.85
K: 0.7814 0.7814 0.5000  1 K 3.42, 4 Sb 3.48-3.63
K: 0.8426 0.1574 0.3061  4 Ga 3.60-3.67, 6 Sb 3.62-3.85
K: 0.1514 0.3486 0.7500  6 Sb 3.61-4.01, 2 K 3.91
K: 0.8486 0.6514 0.2500  6 Sb 3.61-4.01, 2 K 3.91
Sb: 0.3625 0.6375 0.9204  2 Ga 2.75, 1 Sb 2.86
Sb: 0.2357 0.7643 0.8073  2 Ga 2.76, 1 Sb 2.86
Sb: 0.3371 0.0308 0.5760  2 Ga 2.73-2.75, 1 Sb 2.88
Sb: 0.6375 0.3625 0.0796  2 Ga 2.75, 1 Sb 2.86
Sb: 0.5798 0.4202 0.6953  2 Ga 2.75, 1 Sb 2.86
Sb: 0.4576 0.5424 0.8448  2 Ga 2.72, 1 Sb 2.86
Sb: 0.5461 0.4539 0.4148  2 Ga 2.72, 1 Sb 2.82
Sb: 0.9539 0.0461 0.9148  2 Ga 2.72, 1 Sb 2.82
Sb: 0.8625 0.1375 0.5796  2 Ga 2.75, 1 Sb 2.86
Sb: 0.7643 0.2357 0.1927  2 Ga 2.76, 1 Sb 2.86
Sb: 0.9202 0.0798 0.1953  2 Ga 2.75, 1 Sb 2.86
Sb: 0.3489 0.6511 0.6539  2 Ga 2.72, 1 Sb 2.82
Sb: 0.4539 0.5461 0.5852  2 Ga 2.72, 1 Sb 2.82
Sb: 0.0308 0.3371 0.4240  2 Ga 2.73-2.75, 1 Sb 2.88
Sb: 0.8371 0.5308 0.9240  2 Ga 2.73-2.75, 1 Sb 2.88
Sb: 0.5308 0.8371 0.0760  2 Ga 2.73-2.75, 1 Sb 2.88
Sb: 0.0424 0.9576 0.3448  2 Ga 2.72, 1 Sb 2.86
Sb: 0.9576 0.0424 0.6552  2 Ga 2.72, 1 Sb 2.86
Sb: 0.4692 0.1629 0.9240  2 Ga 2.73-2.75, 1 Sb 2.88
Sb: 0.4202 0.5798 0.3047  2 Ga 2.75, 1 Sb 2.86
Sb: 0.6511 0.3489 0.3461  2 Ga 2.72, 1 Sb 2.82
Sb: 0.0461 0.9539 0.0852  2 Ga 2.72, 1 Sb 2.82
Sb: 0.2643 0.7357 0.3073  2 Ga 2.76, 1 Sb 2.86
Sb: 0.7357 0.2643 0.6927  2 Ga 2.76, 1 Sb 2.86
Sb: 0.1375 0.8625 0.4204  2 Ga 2.75, 1 Sb 2.86
Sb: 0.6629 0.9692 0.4240  2 Ga 2.73-2.75, 1 Sb 2.88
Sb: 0.8489 0.1511 0.8461  2 Ga 2.72, 1 Sb 2.82
Sb: 0.9692 0.6629 0.5760  2 Ga 2.73-2.75, 1 Sb 2.88
Sb: 0.1629 0.4692 0.0760  2 Ga 2.73-2.75, 1 Sb 2.88
Sb: 0.0798 0.9202 0.8047  2 Ga 2.75, 1 Sb 2.86
Sb: 0.5424 0.4576 0.1552  2 Ga 2.72, 1 Sb 2.86
Sb: 0.1511 0.8489 0.1539  2 Ga 2.72, 1 Sb 2.82
Ga: 0.9950 0.4493 0.6250  4 Sb 2.72-2.76
Ga: 0.0050 0.5507 0.3750  4 Sb 2.72-2.76
Ga: 0.9493 0.4950 0.1250  4 Sb 2.72-2.76
Ga: 0.4493 0.9950 0.3750  4 Sb 2.72-2.76
Ga: 0.6879 0.7667 0.3702  4 Sb 2.72-2.75
Ga: 0.1879 0.2667 0.1298  4 Sb 2.72-2.75
Ga: 0.8121 0.7333 0.8702  4 Sb 2.72-2.75
Ga: 0.7667 0.6879 0.6298  4 Sb 2.72-2.75
Ga: 0.3121 0.2333 0.6298  4 Sb 2.72-2.75
Ga: 0.4950 0.9493 0.8750  4 Sb 2.72-2.76
Ga: 0.2667 0.1879 0.8702  4 Sb 2.72-2.75
Ga: 0.0507 0.5050 0.8750  4 Sb 2.72-2.76
Ga: 0.5050 0.0507 0.1250  4 Sb 2.72-2.76
Ga: 0.2333 0.3121 0.3702  4 Sb 2.72-2.75
Ga: 0.5507 0.0050 0.6250  4 Sb 2.72-2.76
Ga: 0.7333 0.8121 0.1298  4 Sb 2.72-2.75

Output
Raw formation energy, meV per atom: -330.3
Raw total energy, eV/atom: -3.42

Entry from the Alexandria database: an optimized crystal structure of LiLa2P4Ir3 (PBE).

a = 4.2867 Å, b = 4.2867 Å, c = 9.4646 Å
α = 90.00°, β = 90.00°, γ = 90.00°
With the nearest neighbours (Å) after each atom.
Element x y z (fractional)
Ir: 0.0000 0.5000 0.1094  5 P 2.38-2.44
Ir: 0.0000 0.0000 0.5000  4 P 2.48
Ir: 0.5000 0.0000 0.8906  5 P 2.38-2.44
P: 0.5000 0.5000 0.0000  4 Ir 2.38
P: 0.0000 0.0000 0.0000  4 Ir 2.38
P: 0.5000 0.0000 0.6327  3 Ir 2.44-2.48, 2 Li 2.48
P: 0.0000 0.5000 0.3673  3 Ir 2.44-2.48, 2 Li 2.48
La: 0.5000 0.0000 0.2449  8 P 3.16-3.25, 7 Ir 3.23-3.35, 2 Li 3.23
La: 0.0000 0.5000 0.7551  8 P 3.16-3.25, 2 Li 3.23, 7 Ir 3.23-3.35
Li: 0.5000 0.5000 0.5000  4 P 2.48

Output
Formation enthalpy at 0 K, meV/atom: -1035.2
Raw total energy, eV/atom: -7.03

Entry from the Alexandria database: an optimized crystal structure of YHgW2 (PBE).

a = 4.7962 Å, b = 4.7962 Å, c = 4.7962 Å
α = 119.97°, β = 119.97°, γ = 90.05°
With the nearest neighbours (Å) after each atom.
Element x y z (fractional)
W: 0.2500 0.7500 0.5000  4 W 2.94, 4 Y 2.94
W: 0.0000 0.0000 0.0000  4 W 2.94, 4 Hg 2.94
Hg: 0.7500 0.2500 0.5000  4 W 2.94, 4 Y 2.94
Y: 0.5000 0.5000 0.0000  4 Hg 2.94, 4 W 2.94

Output
Formation enthalpy at 0 K, meV/atom: 548.9
Raw total energy, eV/atom: -7.62

Entry from the Alexandria database: an optimized crystal structure of Ac6Ni2RhI3 (PBE).

a = 7.5668 Å, b = 7.5668 Å, c = 8.9985 Å
α = 98.06°, β = 98.06°, γ = 120.02°
With the nearest neighbours (Å) after each atom.
Element x y z (fractional)
Ac: 0.0611 0.3951 0.1829  2 Ni 2.97-2.98, 1 Rh 2.98
Ac: 0.7271 0.7271 0.1831  2 Ni 2.97, 1 Rh 2.98
Ac: 0.3951 0.0611 0.1829  2 Ni 2.97-2.98, 1 Rh 2.98
Ac: 0.9389 0.6049 0.8171  2 Ni 2.97-2.98, 1 Rh 2.98
Ac: 0.2729 0.2729 0.8169  2 Ni 2.97, 1 Rh 2.98
Ac: 0.6049 0.9389 0.8171  2 Ni 2.97-2.98, 1 Rh 2.98
I: 0.5000 0.5000 0.5000  6 Ac 3.72
I: 0.1668 0.8332 0.5000  6 Ac 3.72-3.73
I: 0.8332 0.1668 0.5000  6 Ac 3.72-3.73
Ni: 0.3334 0.6666 0.0000  6 Ac 2.97-2.98
Ni: 0.6666 0.3334 0.0000  6 Ac 2.97-2.98
Rh: 0.0000 0.0000 0.0000  6 Ac 2.98

Output
Raw formation energy, meV per atom: -825.6
Raw total energy, eV/atom: -4.84

Entry from the Alexandria database: an optimized crystal structure of CdCu2Bi2 (PBE).

a = 3.5823 Å, b = 3.5823 Å, c = 9.3588 Å
α = 78.97°, β = 78.97°, γ = 90.00°
With the nearest neighbours (Å) after each atom.
Element x y z (fractional)
Cd: 0.0000 0.0000 0.0000  8 Bi 3.41, 4 Cd 3.58
Cu: 0.7500 0.2500 0.5000  4 Cu 2.53
Cu: 0.2500 0.7500 0.5000  4 Cu 2.53
Bi: 0.3732 0.3732 0.2537  4 Cu 2.85
Bi: 0.6268 0.6268 0.7463  4 Cu 2.85

Output
Formation enthalpy at 0 K, meV/atom: 144.3
Raw total energy, eV/atom: -3.23
Distance to the lowest polymorph of the same formula, meV per atom: 0

What did the second record say?
Entry from the Alexandria database: an optimized crystal structure of Dy2Si3Rh5 (PBE).

a = 4.0506 Å, b = 6.5697 Å, c = 12.2703 Å
α = 90.00°, β = 99.50°, γ = 90.00°
With the nearest neighbours (Å) after each atom.
Element x y z (fractional)
Si: 0.0496 0.9591 0.0991  4 Rh 2.39-2.61
Si: 0.2286 0.2301 0.4572  7 Rh 2.39-2.49
Si: 0.7714 0.7301 0.5428  7 Rh 2.39-2.49
Si: 0.6113 0.5080 0.2227  4 Rh 2.37-2.59
Si: 0.3887 0.0080 0.7773  4 Rh 2.37-2.59
Si: 0.9504 0.4591 0.9009  4 Rh 2.39-2.61
Rh: 0.5991 0.8995 0.1983  3 Si 2.39-2.59
Rh: 0.7075 0.4365 0.4149  4 Si 2.37-2.49
Rh: 0.7099 0.0234 0.4198  3 Si 2.44-2.48, 1 Rh 2.71
Rh: 0.9423 0.0909 0.8845  3 Si 2.43-2.47
Rh: 0.2901 0.5234 0.5802  3 Si 2.44-2.48, 1 Rh 2.71
Rh: 0.8703 0.7243 0.7406  2 Si 2.39-2.61
Rh: 0.1297 0.2243 0.2594  2 Si 2.39-2.61
Rh: 0.0577 0.5909 0.1155  3 Si 2.43-2.47
Rh: 0.4009 0.3995 0.8017  3 Si 2.39-2.59
Rh: 0.2925 0.9365 0.5851  4 Si 2.37-2.49
Dy: 0.8243 0.2420 0.6485  9 Rh 2.86-3.12, 4 Si 2.98-3.08
Dy: 0.1757 0.7420 0.3515  9 Rh 2.86-3.12, 4 Si 2.98-3.08
Dy: 0.5199 0.2510 0.0397  5 Si 2.78-2.97, 4 Rh 2.96-3.04
Dy: 0.4801 0.7510 0.9603  5 Si 2.78-2.97, 4 Rh 2.96-3.04

Output
Raw formation energy, meV per atom: -943.9
Raw total energy, eV/atom: -7.17